Entry 1:
A relaxed NdAl2ZnCu2 crystal. Source: the Alexandria database, functional GGA-PBE.

Output
The calculation puts the total energy at -22.396 eV for the cell shown. The value obtained for the volume is 18.78 Å³ per atom. The density is 5.8 g cm⁻³.

Cell: 4.4588 4.4588 5.6665 Å, 90.00 90.00 90.00°
With the nearest neighbours (Å) after each atom.
Fractional coordinates of all 6 atoms:
Cu 0.5000 0.0000 0.0000  2 Zn 2.23
Cu 0.0000 0.5000 0.0000  2 Zn 2.23
Al 0.5000 0.5000 0.7423  4 Cu 2.67, 2 Al 2.75-2.92
Al 0.5000 0.5000 0.2577  4 Cu 2.67, 2 Al 2.75-2.92
Nd 0.0000 0.0000 0.5000  2 Zn 2.83
Zn 0.0000 0.0000 0.0000  4 Cu 2.23

***

Entry 2:
A relaxed Nd2AlZn3Cu4 crystal. Source: the Alexandria database, functional GGA-PBE.

Output
The calculation puts the total energy at -36.048 eV for the cell shown. The value obtained for the volume is 18.11 Å³ per atom. The density is 7.0 g cm⁻³.

Cell: 4.1248 4.1248 10.6446 Å, 90.00 90.00 90.00°
With the nearest neighbours (Å) after each atom.
Fractional coordinates of all 10 atoms:
Nd 0.5000 0.0000 0.2478  8 Cu 3.17-3.35, 6 Zn 3.17-3.39, 2 Al 3.39
Nd 0.0000 0.5000 0.7522  8 Cu 3.17-3.35, 6 Zn 3.17-3.39, 2 Al 3.39
Zn 0.5000 0.0000 0.8700  5 Cu 2.48-2.49
Zn 0.0000 0.5000 0.1300  5 Cu 2.48-2.49
Zn 0.0000 0.0000 0.5000  4 Cu 2.52
Cu 0.0000 0.5000 0.3635  3 Zn 2.49-2.52, 2 Al 2.52
Cu 0.5000 0.0000 0.6365  3 Zn 2.49-2.52, 2 Al 2.52
Cu 0.5000 0.5000 0.0000  4 Zn 2.48
Cu 0.0000 0.0000 0.0000  4 Zn 2.48
Al 0.5000 0.5000 0.5000  4 Cu 2.52

***

Entry 3:
A relaxed Nd2Al4Zn3Cu crystal. Source: the Alexandria database, functional GGA-PBE.

Output
The calculation puts the total energy at -36.498 eV for the cell shown. The value obtained for the volume is 19.22 Å³ per atom. The density is 5.7 g cm⁻³.

Cell: 4.2602 4.2602 10.5904 Å, 90.00 90.00 90.00°
With the nearest neighbours (Å) after each atom.
Fractional coordinates of all 10 atoms:
Cu 0.5000 0.5000 0.5000  4 Al 2.50
Zn 0.5000 0.0000 0.8590  5 Al 2.50-2.60
Zn 0.0000 0.5000 0.1410  5 Al 2.50-2.60
Zn 0.0000 0.0000 0.5000  4 Al 2.50
Al 0.0000 0.5000 0.3768  3 Zn 2.50, 2 Cu 2.50
Al 0.5000 0.5000 0.0000  4 Zn 2.60
Al 0.0000 0.0000 0.0000  4 Zn 2.60
Al 0.5000 0.0000 0.6232  3 Zn 2.50, 2 Cu 2.50
Nd 0.5000 0.0000 0.2553  6 Zn 3.25-3.35, 8 Al 3.28-3.44, 2 Cu 3.35
Nd 0.0000 0.5000 0.7447  6 Zn 3.25-3.35, 8 Al 3.28-3.44, 2 Cu 3.35

***

Entry 4:
A relaxed Nd2Al4ZnCu3 crystal. Source: the Alexandria database, functional GGA-PBE.

Output
The calculation puts the total energy at -42.195 eV for the cell shown. The value obtained for the volume is 18.57 Å³ per atom. The density is 5.8 g cm⁻³.

Cell: 4.2620 4.2620 10.2233 Å, 90.00 90.00 90.00°
With the nearest neighbours (Å) after each atom.
Fractional coordinates of all 10 atoms:
Al 0.5000 0.0000 0.6354  3 Cu 2.43-2.54, 2 Zn 2.54
Al 0.5000 0.5000 0.0000  4 Cu 2.50
Al 0.0000 0.5000 0.3646  3 Cu 2.43-2.54, 2 Zn 2.54
Al 0.0000 0.0000 0.0000  4 Cu 2.50
Cu 0.0000 0.5000 0.1273  5 Al 2.43-2.50
Cu 0.0000 0.0000 0.5000  4 Al 2.54
Cu 0.5000 0.0000 0.8727  5 Al 2.43-2.50
Nd 0.5000 0.0000 0.2519  8 Al 3.23-3.34, 6 Cu 3.27-3.31, 2 Zn 3.31
Nd 0.0000 0.5000 0.7481  8 Al 3.23-3.34, 6 Cu 3.27-3.31, 2 Zn 3.31
Zn 0.5000 0.5000 0.5000  4 Al 2.54

***

Entry 5:
A relaxed NdZrAlCu crystal. Source: the Alexandria database, functional GGA-PBE.

Output
The calculation puts the total energy at -21.636 eV for the cell shown. The value obtained for the volume is 21.58 Å³ per atom. The density is 6.3 g cm⁻³.

Cell: 4.9604 4.9604 4.9604 Å, 60.00 60.00 60.00°
With the nearest neighbours (Å) after each atom.
Fractional coordinates of all 4 atoms:
Al 0.7500 0.7500 0.7500  4 Nd 3.04, 4 Zr 3.04
Zr 0.5000 0.5000 0.5000  4 Cu 3.04, 4 Al 3.04
Nd 0.0000 0.0000 0.0000  4 Al 3.04, 4 Cu 3.04
Cu 0.2500 0.2500 0.2500  4 Zr 3.04, 4 Nd 3.04

***

Entry 6:
A relaxed Al2CuNi crystal. Source: the Alexandria database, functional GGA-PBE.

Output
The calculation puts the total energy at -34.120 eV for the cell shown. The value obtained for the volume is 14.48 Å³ per atom. The density is 5.1 g cm⁻³.

Cell: 6.7119 6.7119 5.3980 Å, 51.56 51.56 90.00°
With the nearest neighbours (Å) after each atom.
Fractional coordinates of all 8 atoms:
Cu 0.0000 0.0000 0.0000  4 Al 2.53, 2 Ni 2.57
Cu 0.7500 0.2500 0.5000  4 Al 2.53, 2 Ni 2.57
Al 0.6100 0.1250 0.2500  2 Ni 2.39, 2 Cu 2.53, 2 Al 2.58
Al 0.8750 0.8600 0.7500  2 Ni 2.39, 2 Cu 2.53, 2 Al 2.58
Al 0.1400 0.6250 0.2500  2 Ni 2.39, 2 Cu 2.53, 2 Al 2.58
Al 0.3750 0.3900 0.7500  2 Ni 2.39, 2 Cu 2.53, 2 Al 2.58
Ni 0.2500 0.7500 0.5000  4 Al 2.39, 2 Cu 2.57
Ni 0.5000 0.5000 0.0000  4 Al 2.39, 2 Cu 2.57

***

Entry 7:
A relaxed Al6CuNi2 crystal. Source: the Alexandria database, functional GGA-PBE.

Output
The calculation puts the total energy at -40.611 eV for the cell shown. The value obtained for the volume is 15.20 Å³ per atom. The density is 4.2 g cm⁻³.

Cell: 3.8314 6.1182 6.5457 Å, 74.73 72.98 71.75°
With the nearest neighbours (Å) after each atom.
Fractional coordinates of all 9 atoms:
Ni 0.5870 0.5700 0.2561  7 Al 2.38-2.51, 2 Cu 2.44
Ni 0.4130 0.4300 0.7439  7 Al 2.38-2.51, 2 Cu 2.44
Al 0.0121 0.1549 0.8209  2 Ni 2.48, 1 Cu 2.56, 1 Al 2.60
Al 0.7399 0.6507 0.8695  3 Ni 2.38-2.51, 1 Cu 2.62
Al 0.2601 0.3493 0.1305  3 Ni 2.38-2.51, 1 Cu 2.62
Al 0.6759 0.1726 0.4755  2 Ni 2.45, 2 Cu 2.72
Al 0.3241 0.8274 0.5245  2 Ni 2.45, 2 Cu 2.72
Al 0.9879 0.8451 0.1791  2 Ni 2.48, 1 Cu 2.56, 1 Al 2.60
Cu 0.0000 0.5000 0.5000  4 Ni 2.44, 8 Al 2.56-2.72

***

Entry 8:
A relaxed Al3Cu3Ni crystal. Source: the Alexandria database, functional GGA-PBE.

Output
The calculation puts the total energy at -62.643 eV for the cell shown. The value obtained for the volume is 12.83 Å³ per atom. The density is 6.1 g cm⁻³.

Cell: 7.0038 7.0040 4.2272 Å, 90.00 90.00 120.00°
With the nearest neighbours (Å) after each atom.
Fractional coordinates of all 14 atoms:
Ni 0.6667 0.3334 0.7500  9 Al 2.64-2.65, 3 Cu 2.65
Ni 0.3333 0.6666 0.2500  9 Al 2.64-2.65, 3 Cu 2.65
Al 0.6317 0.5410 0.2500  5 Cu 2.55-2.75, 3 Ni 2.64-2.65, 4 Al 2.67-2.76
Al 0.0906 0.6317 0.7500  5 Cu 2.55-2.75, 3 Ni 2.64-2.65, 4 Al 2.67-2.76
Al 0.5411 0.9094 0.7500  5 Cu 2.55-2.75, 3 Ni 2.64-2.65, 4 Al 2.67-2.76
Al 0.4589 0.0906 0.2500  5 Cu 2.55-2.75, 3 Ni 2.64-2.65, 4 Al 2.67-2.76
Al 0.9094 0.3683 0.2500  5 Cu 2.55-2.75, 3 Ni 2.64-2.65, 4 Al 2.67-2.76
Al 0.3683 0.4590 0.7500  5 Cu 2.55-2.75, 3 Ni 2.64-2.65, 4 Al 2.67-2.76
Cu 0.1892 0.2367 0.2500  5 Al 2.55-2.75, 6 Cu 2.60-2.63, 1 Ni 2.65
Cu 0.9524 0.1892 0.7500  5 Al 2.55-2.75, 6 Cu 2.60-2.63, 1 Ni 2.65
Cu 0.2368 0.0476 0.7500  5 Al 2.55-2.75, 6 Cu 2.60-2.63, 1 Ni 2.65
Cu 0.7632 0.9524 0.2500  5 Al 2.55-2.75, 6 Cu 2.60-2.63, 1 Ni 2.65
Cu 0.0476 0.8108 0.2500  5 Al 2.55-2.75, 6 Cu 2.60-2.63, 1 Ni 2.65
Cu 0.8108 0.7633 0.7500  5 Al 2.55-2.75, 6 Cu 2.60-2.63, 1 Ni 2.65

***

Entry 9:
A relaxed Al3CuNi4 crystal. Source: the Alexandria database, functional GGA-PBE.

Output
The calculation puts the total energy at -42.477 eV for the cell shown. The value obtained for the volume is 11.88 Å³ per atom. The density is 6.6 g cm⁻³.

Cell: 2.9266 2.9266 11.1012 Å, 90.00 90.00 90.00°
With the nearest neighbours (Å) after each atom.
Fractional coordinates of all 8 atoms:
Ni 0.0000 0.0000 0.3740  8 Al 2.50-2.52, 2 Ni 2.77-2.80
Ni 0.0000 0.0000 0.8753  4 Al 2.46, 4 Cu 2.49
Ni 0.0000 0.0000 0.6260  8 Al 2.50-2.52, 2 Ni 2.77-2.80
Ni 0.0000 0.0000 0.1247  4 Al 2.46, 4 Cu 2.49
Cu 0.5000 0.5000 0.0000  8 Ni 2.49, 2 Al 2.71
Al 0.5000 0.5000 0.2440  8 Ni 2.46-2.52, 1 Cu 2.71
Al 0.5000 0.5000 0.7560  8 Ni 2.46-2.52, 1 Cu 2.71
Al 0.5000 0.5000 0.5000  8 Ni 2.50

***

Entry 10:
A relaxed Al3Cu3Ni2 crystal. Source: the Alexandria database, functional GGA-PBE.

Output
The calculation puts the total energy at -74.691 eV for the cell shown. The value obtained for the volume is 12.87 Å³ per atom. The density is 6.3 g cm⁻³.

Cell: 7.0069 7.0069 4.8425 Å, 90.00 90.00 120.00°
With the nearest neighbours (Å) after each atom.
Fractional coordinates of all 16 atoms:
Cu 0.2221 0.0000 0.2500  5 Al 2.48-2.75, 2 Cu 2.70
Cu 0.0000 0.2221 0.2500  5 Al 2.48-2.75, 2 Cu 2.70
Cu 0.2221 0.2221 0.7500  5 Al 2.48-2.75, 2 Cu 2.70
Cu 0.7779 0.0000 0.7500  5 Al 2.48-2.75, 2 Cu 2.70
Cu 0.7779 0.7779 0.2500  5 Al 2.48-2.75, 2 Cu 2.70
Cu 0.0000 0.7779 0.7500  5 Al 2.48-2.75, 2 Cu 2.70
Ni 0.3333 0.6667 0.0000  2 Ni 2.42, 6 Al 2.44
Ni 0.3333 0.6667 0.5000  2 Ni 2.42, 6 Al 2.44
Ni 0.6667 0.3333 0.0000  2 Ni 2.42, 6 Al 2.44
Ni 0.6667 0.3333 0.5000  2 Ni 2.42, 6 Al 2.44
Al 0.5925 0.5925 0.7500  4 Ni 2.44, 3 Cu 2.48-2.59
Al 0.4075 0.0000 0.7500  4 Ni 2.44, 3 Cu 2.48-2.60
Al 0.4075 0.4075 0.2500  4 Ni 2.44, 3 Cu 2.48-2.59
Al 0.0000 0.5925 0.2500  4 Ni 2.44, 3 Cu 2.48-2.60
Al 0.0000 0.4075 0.7500  4 Ni 2.44, 3 Cu 2.48-2.60
Al 0.5925 0.0000 0.2500  4 Ni 2.44, 3 Cu 2.48-2.60

***

> volume of number 10 (Al3Cu3Ni2)?

12.87 Å³ per atom

***

> The lowest volume belongs to which entry?

Al3CuNi4

***

> Which value of volume does entry 9 give?

11.88 Å³ per atom